Computed, not measured: a relaxed Ni2As2O7 crystal at the GGA+U level of DFT.

a = 5.4052 Å, b = 5.4052 Å, c = 4.8334 Å
α = 96.78°, β = 96.78°, γ = 106.96°
Last column: nearest neighbours and their distance in Å.
Atoms (fractional coordinates):
1 Ni 0.1882 0.8118 0.0000  6 O 2.08-2.14
2 Ni 0.8118 0.1882 0.0000  6 O 2.08-2.14
3 As 0.2572 0.2572 0.6036  4 O 1.71-1.74
4 As 0.7428 0.7428 0.3964  4 O 1.71-1.74
5 O 0.0914 0.0914 0.2731  1 As 1.74
6 O 0.0941 0.4299 0.7901  1 As 1.71
7 O 0.4299 0.0941 0.7901  1 As 1.71
8 O 0.5000 0.5000 0.5000  2 As 1.73
9 O 0.5701 0.9059 0.2099  1 As 1.71
10 O 0.9059 0.5701 0.2099  1 As 1.71
11 O 0.9086 0.9086 0.7269  1 As 1.74

## Properties
Density ... 4.76 g/cm³
Size of the total moment ... 0.36 μB/atom
Total energy ... -61.97 eV/f.u.
Space-group type ... C2/m, No. 12
Crystal system ... monoclinic